# 1
## VZn3Re (PBE-GGA)

Data for an optimized crystal structure of VZn3Re.

a b c (Å): 4.6154 4.6154 4.6154
angles (deg): 90.00 90.00 90.00
Last column: nearest neighbours and their distance in Å.
Atoms (fractional coordinates):
Re: 0.5000 0.5000 0.5000  12 Zn 3.26
Zn: 0.0000 0.5000 0.0000  2 V 2.31
Zn: 0.0000 0.0000 0.5000  2 V 2.31
Zn: 0.5000 0.0000 0.0000  2 V 2.31
V: 0.0000 0.0000 0.0000  6 Zn 2.31

## Properties
Size of the total moment   1.6 μB/cell
Calculated formation energy   166.1 kJ per mole of atoms

---

# 2
## ZnGaReSe2 (PBE-GGA)

Data for an optimized crystal structure of ZnGaReSe2.

a b c (Å): 4.8752 5.0045 4.8752
angles (deg): 90.00 90.00 90.00
Last column: nearest neighbours and their distance in Å.
Atoms (fractional coordinates):
Re: 0.0000 0.0000 0.0000  4 Se 2.44, 2 Zn 2.50
Zn: 0.0000 0.5000 0.0000  2 Re 2.50
Ga: 0.5000 0.5000 0.5000  4 Zn 3.45, 8 Se 3.49
Se: 0.0000 0.0000 0.5000  2 Re 2.44
Se: 0.5000 0.0000 0.0000  2 Re 2.44

## Properties
Formation energy without anion corrections   0.365 eV per atom
Size of the total moment   0.0 μB/cell

---

# 3
## CrHgSe2N (PBE-GGA)

Data for an optimized crystal structure of CrHgSe2N.

a b c (Å): 5.0937 5.0937 3.5600
angles (deg): 90.00 90.00 90.00
Last column: nearest neighbours and their distance in Å.
Atoms (fractional coordinates):
Cr: 0.0000 0.0000 0.0000  2 N 1.78
Hg: 0.5000 0.5000 0.5000  8 Se 3.11
Se: 0.0000 0.5000 0.0000  2 Cr 2.55
Se: 0.5000 0.0000 0.0000  2 Cr 2.55
N: 0.0000 0.0000 0.5000  2 Cr 1.78

## Properties
Formation energy without anion corrections   0.174 eV per atom
Size of the total moment   0.9 μB/cell

---

# 4
## PrSm8Er6 (PBE-GGA)

Data for an optimized crystal structure of PrSm8Er6.

a b c (Å): 9.0666 9.0666 8.6998
angles (deg): 58.60 58.60 60.00
Last column: nearest neighbours and their distance in Å.
Atoms (fractional coordinates):
Pr: 0.0000 0.0000 0.0000  6 Er 3.50, 6 Sm 3.54
Sm: 0.8875 0.2829 0.5793  5 Sm 3.42-3.45, 2 Er 3.43-3.44, 1 Pr 3.54
Sm: 0.7497 0.1125 0.4207  5 Sm 3.42-3.45, 2 Er 3.43-3.44, 1 Pr 3.54
Sm: 0.7171 0.7497 0.4207  5 Sm 3.42-3.45, 2 Er 3.43-3.44, 1 Pr 3.54
Sm: 0.4227 0.4227 0.7320  4 Sm 3.22-3.42, 3 Er 3.36
Sm: 0.5773 0.5773 0.2680  4 Sm 3.22-3.42, 3 Er 3.36
Sm: 0.2829 0.2503 0.5793  5 Sm 3.42-3.45, 2 Er 3.43-3.44, 1 Pr 3.54
Sm: 0.2503 0.8875 0.5793  5 Sm 3.42-3.45, 2 Er 3.43-3.44, 1 Pr 3.54
Sm: 0.1125 0.7171 0.4207  5 Sm 3.42-3.45, 2 Er 3.43-3.44, 1 Pr 3.54
Er: 0.0983 0.5359 0.1182  3 Sm 3.36-3.44, 2 Er 3.49, 1 Pr 3.50
Er: 0.7524 0.9017 0.8818  3 Sm 3.36-3.44, 2 Er 3.49, 1 Pr 3.50
Er: 0.4641 0.7524 0.8818  3 Sm 3.36-3.44, 2 Er 3.49, 1 Pr 3.50
Er: 0.5359 0.2476 0.1182  3 Sm 3.36-3.44, 2 Er 3.49, 1 Pr 3.50
Er: 0.2476 0.0983 0.1182  3 Sm 3.36-3.44, 2 Er 3.49, 1 Pr 3.50
Er: 0.9017 0.4641 0.8818  3 Sm 3.36-3.44, 2 Er 3.49, 1 Pr 3.50

## Properties
Size of the total moment   0.0 μB/cell
Calculated formation energy   12.8 kJ per mole of atoms

---

# 5
## ErCo3As3 (PBE-GGA)

Data for an optimized crystal structure of ErCo3As3.

a b c (Å): 6.3352 6.3352 6.3352
angles (deg): 90.00 90.00 90.00
Last column: nearest neighbours and their distance in Å.
Atoms (fractional coordinates):
As: 0.0000 0.2500 0.5000  4 Co 2.24
As: 0.0000 0.7500 0.5000  4 Co 2.24
As: 0.5000 0.0000 0.7500  4 Co 2.24
As: 0.7500 0.5000 0.0000  4 Co 2.24
As: 0.5000 0.0000 0.2500  4 Co 2.24
As: 0.2500 0.5000 0.0000  4 Co 2.24
Co: 0.2500 0.0000 0.5000  4 As 2.24
Co: 0.0000 0.5000 0.2500  4 As 2.24
Co: 0.5000 0.7500 0.0000  4 As 2.24
Co: 0.7500 0.0000 0.5000  4 As 2.24
Co: 0.0000 0.5000 0.7500  4 As 2.24
Co: 0.5000 0.2500 0.0000  4 As 2.24
Er: 0.5000 0.5000 0.5000  12 Co 3.54, 12 As 3.54
Er: 0.0000 0.0000 0.0000  12 As 3.54, 12 Co 3.54

## Properties
Size of the total moment   0.0 μB/cell
Calculated formation energy   -16.6 kJ per mole of atoms

---

# 6
## Mg2Re3 (PBE-GGA)

Data for an optimized crystal structure of Mg2Re3.

a b c (Å): 8.5558 7.6088 5.2873
angles (deg): 80.96 61.43 37.61
Last column: nearest neighbours and their distance in Å.
Atoms (fractional coordinates):
Mg: 0.3644 0.5369 0.2088  9 Re 2.72-3.02, 2 Mg 2.97
Mg: 0.8898 0.2088 0.5369  9 Re 2.72-3.02, 2 Mg 2.97
Mg: 0.7131 0.8856 0.3602  9 Re 2.72-3.02, 2 Mg 2.97
Mg: 0.0412 0.3602 0.8856  9 Re 2.72-3.02, 2 Mg 2.97
Re: 0.3062 0.4912 0.7597  1 Re 2.41
Re: 0.4429 0.7597 0.4912  1 Re 2.41
Re: 0.7588 0.9438 0.8071  1 Re 2.41
Re: 0.4903 0.8071 0.9438  1 Re 2.41
Re: 0.9967 0.0033 0.0033  2 Re 2.41
Re: 0.2467 0.2533 0.2533  2 Re 2.41

## Properties
Size of the total moment   0.0 μB/cell
Calculated formation energy   49.6 kJ per mole of atoms

---

# 7
## Y4ZnRu2 (PBE-GGA)

Data for an optimized crystal structure of Y4ZnRu2.

a b c (Å): 4.8801 4.8801 8.3584
angles (deg): 73.03 73.03 60.00
Last column: nearest neighbours and their distance in Å.
Atoms (fractional coordinates):
Y: 0.8716 0.8716 0.3852  4 Ru 2.94-3.04, 1 Zn 3.03
Y: 0.1284 0.1284 0.6148  4 Ru 2.94-3.04, 1 Zn 3.03
Y: 0.6204 0.6204 0.1388  4 Ru 2.93-2.99, 3 Zn 3.02
Y: 0.3796 0.3796 0.8612  4 Ru 2.93-2.99, 3 Zn 3.02
Zn: 0.0000 0.0000 0.0000  8 Y 3.02-3.03
Ru: 0.7471 0.7471 0.7588  8 Y 2.93-3.04
Ru: 0.2529 0.2529 0.2412  8 Y 2.93-3.04

## Properties
Size of the total moment   0.0 μB/cell
Calculated formation energy   -29.9 kJ per mole of atoms

---

# 8
## NiAgMo3 (PBE-GGA)

Data for an optimized crystal structure of NiAgMo3.

a b c (Å): 4.4902 4.4902 4.4902
angles (deg): 90.00 90.00 90.00
Last column: nearest neighbours and their distance in Å.
Atoms (fractional coordinates):
Ni: 0.0000 0.0000 0.0000  6 Mo 2.25
Mo: 0.0000 0.5000 0.0000  2 Ni 2.25
Mo: 0.0000 0.0000 0.5000  2 Ni 2.25
Mo: 0.5000 0.0000 0.0000  2 Ni 2.25
Ag: 0.5000 0.5000 0.5000  12 Mo 3.18

## Properties
Size of the total moment   0.0 μB/cell
Calculated formation energy   132.2 kJ per mole of atoms